Entry 1:
# La2Ce3Au4

La2Ce3Au4 after structural relaxation (PBE, the Alexandria database).

Lattice parameters (Å, degrees): 8.4962 7.9881 7.7545 90.00 109.45 90.00
Space group P2_1/c (No. 14)
Inequivalent atoms, fractional coordinates:
La 0.1875 0.1757 0.0576 x4
Ce 0.2436 0.6627 0.2448 x4
Ce 0.5000 0.0000 0.5000 x2
Au 0.0768 0.5399 0.8475 x4
Au 0.4933 0.1348 0.8674 x4

=====

Entry 2:
# PmSm2Si2Pt7

PmSm2Si2Pt7 after structural relaxation (PBE, the Alexandria database).

Lattice parameters (Å, degrees): 5.8309 5.7670 13.8827 90.00 98.18 90.00
Space group C2/m (No. 12)
Inequivalent atoms, fractional coordinates:
Pm 0.0000 0.0000 0.0000 x2
Sm 0.1092 0.0000 0.3573 x4
Si 0.0888 0.5000 0.2557 x4
Pt 0.0000 0.5000 0.0000 x2
Pt 0.1230 0.5000 0.4259 x4
Pt 0.1931 0.2506 0.8363 x8

Summary:
Raw formation energy, kJ per mole of atoms: -103.52

=====

Entry 3:
# TcPt2Br

TcPt2Br after structural relaxation (PBE, the Alexandria database).

Lattice parameters (Å, degrees): 6.5157 6.5157 6.5157 90.00 90.00 90.00
Space group Fm-3m (No. 225)
Inequivalent atoms, fractional coordinates:
Tc 0.0000 0.0000 0.0000 x4
Pt 0.2500 0.2500 0.2500 x8
Br 0.0000 0.0000 0.5000 x4

Summary:
Energy above the most stable polymorph in this dataset, meV/atom: 626.9
Raw formation energy, kJ per mole of atoms: 80.77

=====

Entry 4:
# MgZnI2

MgZnI2 after structural relaxation (PBE, the Alexandria database).

Lattice parameters (Å, degrees): 7.6848 7.6848 7.6848 90.00 90.00 90.00
Space group Fm-3m (No. 225)
Inequivalent atoms, fractional coordinates:
Mg 0.0000 0.0000 0.0000 x4
Zn 0.0000 0.0000 0.5000 x4
I 0.2500 0.2500 0.2500 x8

Summary:
Energy above the most stable polymorph in this dataset, meV/atom: 287.9
Raw formation energy, kJ per mole of atoms: -15.62

=====

Entry 5:
# SmMn5Co7

SmMn5Co7 after structural relaxation (PBE, the Alexandria database).

Lattice parameters (Å, degrees): 4.5925 8.3928 8.3790 90.00 90.00 90.00
Space group Imm2 (No. 44)
Inequivalent atoms, fractional coordinates:
Sm 0.0000 0.0000 0.0000 x2
Mn 0.0000 0.5000 0.7306 x2
Mn 0.2472 0.2510 0.2519 x8
Co 0.0000 0.0000 0.3635 x2
Co 0.0000 0.0000 0.6444 x2
Co 0.0000 0.2689 0.5037 x4
Co 0.0000 0.3596 0.0003 x4
Co 0.0000 0.5000 0.2753 x2

=====

Entry 6:
# Tl4HgSb2Pb2

Tl4HgSb2Pb2 after structural relaxation (PBE, the Alexandria database).

Lattice parameters (Å, degrees): 6.5096 7.0560 7.0733 100.00 114.19 90.59
Space group P-1 (No. 2)
Inequivalent atoms, fractional coordinates:
Tl 0.1552 0.1464 0.2791 x2
Tl 0.3010 0.6361 0.6105 x2
Hg 0.5000 0.0000 0.0000 x1
Sb 0.1600 0.2640 0.7783 x2
Pb 0.2822 0.6438 0.1180 x2

Summary:
Raw formation energy, kJ per mole of atoms: 2.37

=====

Entry 7:
# ScTaAlRe

ScTaAlRe after structural relaxation (PBE, the Alexandria database).

Lattice parameters (Å, degrees): 6.4883 6.4883 6.4883 90.00 90.00 90.00
Space group F-43m (No. 216)
Inequivalent atoms, fractional coordinates:
Sc 0.0000 0.0000 0.0000 x4
Ta 0.0000 0.0000 0.5000 x4
Al 0.2500 0.2500 0.2500 x4
Re 0.2500 0.2500 0.7500 x4

=====

Entry 8:
# ZnReS2

ZnReS2 after structural relaxation (PBE, the Alexandria database).

Lattice parameters (Å, degrees): 5.4672 5.4672 10.3280 90.00 90.00 90.00
Space group I-42d (No. 122)
Inequivalent atoms, fractional coordinates:
Zn 0.0000 0.0000 0.0000 x4
Re 0.0000 0.0000 0.5000 x4
S 0.2365 0.2500 0.6250 x8

Summary:
Raw formation energy, kJ per mole of atoms: 2.66

=====

Table of DOS at the Fermi energy (states/eV/atom), in record order: 2.553; 0.485; 0.670; 0.207; 1.405; 0.386; 0.360; 0.610
Table of spin magnetization (Bohr magnetons per cell), in record order: 6.03; 0.00; 8.31; 0.00; 30.65; 0.00; 0.00; 0.00
Table of DFT total energy (eV/atom), in record order: -5.134; -6.683; -5.193; -1.654; -7.658; -2.801; -8.878; -5.467